First-principles (PBE with a Hubbard U) data for InW2O after structural relaxation, as listed in Alexandria via LeMat-Bulk.

```
16
Lattice="5.434 0.000 0.000 0.000 5.434 0.000 0.000 0.000 12.737" Properties=species:S:1:pos:R:3 pbc="T T T"
In 0.000 0.000 0.000
In 0.000 2.717 3.184
In 2.717 0.000 9.553
In 2.717 2.717 6.369
W 0.291 1.359 7.961
W 1.359 3.008 11.145
W 1.359 5.144 4.776
W 2.427 1.359 1.592
W 3.008 4.076 1.592
W 4.076 0.291 4.776
W 4.076 2.427 11.145
W 5.144 4.076 7.961
O 0.000 0.000 6.369
O 0.000 2.717 9.553
O 2.717 0.000 3.184
O 2.717 2.717 0.000
```

Results
**Excess energy over the best structure of this formula in the dataset**: 0.00 kcal/mol of atoms